Here is a geometry-optimized AuBr2 structure from the Alexandria database. Energies are from GGA-PBEsol.

ΔE_f (raw)   1.021 eV per atom
Total magnetization   0.00 μB/atom
Symmetry   Fd-3m (227)

Cell: 5.9075 5.9075 5.9075 Å, 60.00 60.00 60.00°
With the nearest neighbours (Å) after each atom.
Fractional coordinates of all 6 atoms:
Au 0.1250 0.1250 0.1250  12 Br 3.46, 4 Au 3.62
Au 0.8750 0.8750 0.8750  12 Br 3.46, 4 Au 3.62
Br 0.0000 0.5000 0.5000  6 Br 2.95
Br 0.5000 0.0000 0.5000  6 Br 2.95
Br 0.5000 0.5000 0.0000  6 Br 2.95
Br 0.5000 0.5000 0.5000  6 Br 2.95

***

Here is a geometry-optimized AuBr structure from the Alexandria database. Energies are from GGA-PBEsol.

ΔE_f (raw)   -0.005 eV per atom
Total magnetization   0.00 μB/atom
Symmetry   Cmme (67)

Cell: 3.6461 6.8242 8.3690 Å, 90.00 90.00 90.00°
With the nearest neighbours (Å) after each atom.
Fractional coordinates of all 8 atoms:
Au 0.0000 0.2500 0.1087  2 Br 2.51, 2 Au 2.58
Au 0.0000 0.7500 0.8913  2 Br 2.51, 2 Au 2.58
Au 0.5000 0.2500 0.8913  2 Br 2.51, 2 Au 2.58
Au 0.5000 0.7500 0.1087  2 Br 2.51, 2 Au 2.58
Br 0.0000 0.2500 0.6847  2 Au 2.51
Br 0.0000 0.7500 0.3153  2 Au 2.51
Br 0.5000 0.2500 0.3153  2 Au 2.51
Br 0.5000 0.7500 0.6847  2 Au 2.51

***

Here is a geometry-optimized AuBr2 structure from the Alexandria database. Energies are from GGA-PBEsol.

ΔE_f (raw)   -0.057 eV per atom
Total magnetization   0.00 μB/atom
Symmetry   Cmcm (63)

Cell: 3.7938 12.1850 7.2589 Å, 90.00 90.00 90.00°
With the nearest neighbours (Å) after each atom.
Fractional coordinates of all 12 atoms:
Au 0.0000 0.2097 0.2500  4 Br 2.55
Au 0.0000 0.7903 0.7500  4 Br 2.55
Au 0.5000 0.2903 0.7500  4 Br 2.55
Au 0.5000 0.7097 0.2500  4 Br 2.55
Br 0.0000 0.1499 0.7500  2 Au 2.55
Br 0.0000 0.4298 0.7500  2 Au 2.55
Br 0.0000 0.5702 0.2500  2 Au 2.55
Br 0.0000 0.8501 0.2500  2 Au 2.55
Br 0.5000 0.0702 0.2500  2 Au 2.55
Br 0.5000 0.3501 0.2500  2 Au 2.55
Br 0.5000 0.6499 0.7500  2 Au 2.55
Br 0.5000 0.9298 0.7500  2 Au 2.55

***

Here is a geometry-optimized AuBr structure from the Alexandria database. Energies are from GGA-PBEsol.

ΔE_f (raw)   -0.040 eV per atom
Total magnetization   0.00 μB/atom
Symmetry   P4_2/ncm (138)

Cell: 4.1117 4.1117 12.9740 Å, 90.00 90.00 90.00°
With the nearest neighbours (Å) after each atom.
Fractional coordinates of all 8 atoms:
Au 0.0000 0.0000 0.0000  2 Br 2.47
Au 0.0000 0.5000 0.5000  2 Br 2.47
Au 0.5000 0.0000 0.5000  2 Br 2.47
Au 0.5000 0.5000 0.0000  2 Br 2.47
Br 0.2500 0.2500 0.1538  2 Au 2.47
Br 0.2500 0.2500 0.6538  2 Au 2.47
Br 0.7500 0.7500 0.3462  2 Au 2.47
Br 0.7500 0.7500 0.8462  2 Au 2.47

***

- What is the formula in the second record?
  AuBr